1.
Rb2GeSbBr6 after structural relaxation, computed with PBE.

Unit cell a=8.0169 b=8.0169 c=8.0357 alpha=60.08 beta=60.08 gamma=90.00
Fractional positions:
Br 0.2541 0.2541 0.4918
Sb 0.0000 0.0000 0.0000
Br 0.2538 0.2538 0.0000
Br 0.7462 0.2538 0.0000
Br 0.2538 0.7462 0.0000
Rb 0.2500 0.7500 0.5000
Br 0.7459 0.7459 0.5082
Br 0.7462 0.7462 0.0000
Rb 0.7500 0.2500 0.5000
Ge 0.5000 0.5000 0.0000

Properties
Space group = No. 139
Total DFT energy (no corrections) = -3.039 eV per atom
Uncorrected formation energy = -0.968 eV/atom
Total magnetic moment = 0.00 μB/cell

2.
RbIBr after structural relaxation, computed with PBE.

Unit cell a=5.6341 b=8.8881 c=11.4579 alpha=90.00 beta=90.00 gamma=90.00
Fractional positions:
Rb 0.7500 0.4136 0.8397
I 0.7500 0.5478 0.4914
I 0.2500 0.4522 0.5086
Rb 0.2500 0.5864 0.1603
Br 0.2500 0.6273 0.8619
Rb 0.2500 0.9136 0.6603
Br 0.2500 0.8727 0.3619
I 0.2500 0.0478 0.0086
I 0.7500 0.9522 0.9914
Br 0.7500 0.3727 0.1381
Rb 0.7500 0.0864 0.3397
Br 0.7500 0.1273 0.6381

Properties
Space group = No. 62
Energy above the lowest structure with this stoichiometry = 0.082 eV per atom
Total DFT energy (no corrections) = -2.466 eV per atom
Uncorrected formation energy = -1.069 eV/atom
Total magnetic moment = 0.00 μB/cell

3.
Cs2SrIn2I6 after structural relaxation, computed with PBE.

Unit cell a=9.1572 b=7.8837 c=9.9411 alpha=104.99 beta=90.00 gamma=125.50
Fractional positions:
Sr 0.5000 0.0000 0.5000
I 0.7866 0.1042 0.7804
I 0.2134 0.8958 0.2196
I 0.3176 0.1042 0.7804
I 0.7572 0.5143 0.5218
In 0.0977 0.1955 0.1662
Cs 0.3064 0.6128 0.8724
I 0.6824 0.8958 0.2196
Cs 0.6936 0.3872 0.1276
In 0.9023 0.8045 0.8338
I 0.2428 0.4857 0.4782

Properties
Space group = No. 12
Total DFT energy (no corrections) = -2.805 eV per atom
Uncorrected formation energy = -1.154 eV/atom
Total magnetic moment = 0.00 μB/cell

4.
TaAgCl after structural relaxation, computed with PBE.

Unit cell a=4.4276 b=4.4276 c=4.4276 alpha=60.00 beta=60.00 gamma=60.00
Last column: magnetic moment on the atom in μB.
Fractional positions:
Ag 0.0000 0.0000 0.0000  0.01
Ta 0.7500 0.7500 0.7500  0.23
Cl 0.5000 0.5000 0.5000  0.00

Properties
Space group = No. 216
Energy above the lowest structure with this stoichiometry = 1.038 eV per atom
Total DFT energy (no corrections) = -4.613 eV per atom
Uncorrected formation energy = 0.904 eV/atom
Total magnetic moment = 0.35 μB/cell

5.
AlTl2Cd after structural relaxation, computed with PBE.

Unit cell a=4.7910 b=3.7723 c=6.0650 alpha=72.98 beta=90.00 gamma=90.00
Fractional positions:
Al 0.0000 0.7039 0.4794
Tl 0.0000 0.9625 0.9505
Cd 0.5000 0.5502 0.7633
Tl 0.5000 0.2834 0.3068

Properties
Space group = No. 6
Total DFT energy (no corrections) = -2.183 eV per atom
Total magnetic moment = 0.00 μB/cell

6.
Nd2Sn2HgRh5 after structural relaxation, computed with PBE.

Unit cell a=3.7778 b=10.2709 c=10.2709 alpha=90.00 beta=90.00 gamma=90.00
Fractional positions:
Rh 0.5000 0.4396 0.2958
Hg 0.0000 0.0000 0.0000
Sn 0.0000 0.8738 0.3738
Rh 0.5000 0.2042 0.0604
Sn 0.0000 0.1262 0.6262
Rh 0.5000 0.0604 0.7958
Hg 0.0000 0.5000 0.5000
Nd 0.0000 0.3274 0.8274
Rh 0.5000 0.5000 0.0000
Sn 0.0000 0.6262 0.8738
Nd 0.0000 0.6726 0.1726
Rh 0.5000 0.7042 0.4396
Nd 0.0000 0.8274 0.6726
Rh 0.5000 0.9396 0.2042
Nd 0.0000 0.1726 0.3274
Rh 0.5000 0.5604 0.7042
Rh 0.5000 0.7958 0.9396
Rh 0.5000 0.0000 0.5000
Rh 0.5000 0.2958 0.5604
Sn 0.0000 0.3738 0.1262

Properties
Space group = No. 127
Total DFT energy (no corrections) = -5.918 eV per atom
Total magnetic moment = 0.00 μB/cell